# 1
Below is crystalline RbSbAu2 at its relaxed geometry, with properties calculated at the PBE-GGA level.

Structure (extended XYZ):
```
4
Lattice="2.442 1.410 6.191 -2.442 1.410 6.191 0.000 -2.819 6.191" Properties=species:S:1:pos:R:3 pbc="T T T"
Rb 0.000 0.000 0.000
Sb 0.000 0.000 9.287
Au 0.000 0.000 3.560
Au 0.000 0.000 15.014
```

## Properties
space group: R-3m

***

# 2
Below is crystalline RbSb5Au4 at its relaxed geometry, with properties calculated at the PBE-GGA level.

Structure (extended XYZ):
```
20
Lattice="8.660 0.000 0.000 0.000 13.831 0.000 0.000 0.000 5.046" Properties=species:S:1:pos:R:3 pbc="T T T"
Rb 2.165 3.458 0.759
Rb 6.495 10.374 4.287
Sb 0.037 7.838 1.402
Sb 0.037 12.909 1.402
Sb 2.165 10.374 4.423
Sb 4.293 7.838 1.402
Sb 4.293 12.909 1.402
Sb 4.367 0.922 3.644
Sb 4.367 5.994 3.644
Sb 6.495 3.458 0.623
Sb 8.623 0.922 3.644
Sb 8.623 5.994 3.644
Au 0.641 10.374 2.130
Au 2.165 6.959 4.984
Au 2.165 13.788 4.984
Au 3.689 10.374 2.130
Au 4.971 3.458 2.916
Au 6.495 0.043 0.061
Au 6.495 6.873 0.061
Au 8.019 3.458 2.916
```

## Properties
space group: Pmmn

***

Quick rundown of energy relative to the elements, uncorrected, same order as above: -1.03; -1.34 eV/f.u.
Quick rundown of magnetization, same order as above: 0.000; 0.000 μB/atom
Quick rundown of calculated volume, same order as above: 32.0; 30.2 Å³ per atom